Record 1
Entry from Alexandria via LeMat-Bulk: a geometry-optimized PmSi2PtO8 structure (PBE).

Results
The value obtained for the magnetization is 0.683 μB/f.u. For the electronic total energy, the calculation gives -7.12 eV per atom. The density is 5.393 g cm⁻³. As for the crystal system: trigonal. The calculation puts the calculated volume at 13.45 Å³/atom.

a = 5.2570 Å, b = 5.2570 Å, c = 6.7447 Å
α = 90.00°, β = 90.00°, γ = 120.00°
Fractional coordinates of all 12 atoms:
1 Pm 0.0000 0.0000 0.5000
2 Si 0.6667 0.3333 0.2638
3 Si 0.3333 0.6667 0.7362
4 Pt 0.0000 0.0000 0.0000
5 O 0.8396 0.1604 0.1994
6 O 0.8396 0.6792 0.1994
7 O 0.3208 0.1604 0.1994
8 O 0.6792 0.8396 0.8006
9 O 0.3333 0.6667 0.4960
10 O 0.6667 0.3333 0.5040
11 O 0.1604 0.8396 0.8006
12 O 0.1604 0.3208 0.8006


Record 2
Entry from Alexandria via LeMat-Bulk: a geometry-optimized PmSnPtO6 structure (PBE).

Results
The value obtained for the magnetization is 0.000 μB/f.u. For the electronic total energy, the calculation gives -6.42 eV per atom. The density is 7.878 g cm⁻³. As for the crystal system: trigonal. The calculation puts the calculated volume at 12.99 Å³/atom.

a = 5.5166 Å, b = 5.5166 Å, c = 8.8743 Å
α = 90.00°, β = 90.00°, γ = 120.00°
Fractional coordinates of all 18 atoms:
1 Pm 0.3333 0.6667 0.2500
2 Pm 0.6667 0.3333 0.7500
3 Sn 0.0000 0.0000 0.0000
4 Sn 0.0000 0.0000 0.5000
5 Pt 0.6667 0.3333 0.2500
6 Pt 0.3333 0.6667 0.7500
7 O 0.6883 0.6477 0.1202
8 O 0.9595 0.3117 0.1202
9 O 0.3117 0.9595 0.6202
10 O 0.0405 0.6883 0.8798
11 O 0.3523 0.3117 0.3798
12 O 0.9595 0.6477 0.3798
13 O 0.6477 0.9595 0.8798
14 O 0.6883 0.0405 0.3798
15 O 0.0405 0.3523 0.6202
16 O 0.3523 0.0405 0.1202
17 O 0.6477 0.6883 0.6202
18 O 0.3117 0.3523 0.8798


Record 3
Entry from Alexandria via LeMat-Bulk: a geometry-optimized Sr2PmPtO6 structure (PBE).

Results
The value obtained for the magnetization is 0.989 μB/f.u. For the electronic total energy, the calculation gives -6.58 eV per atom. The density is 6.880 g cm⁻³. As for the crystal system: monoclinic. The calculation puts the calculated volume at 14.75 Å³/atom.

a = 5.8904 Å, b = 5.9860 Å, c = 8.3696 Å
α = 90.00°, β = 90.68°, γ = 90.00°
Fractional coordinates of all 20 atoms:
1 Sr 0.0118 0.9572 0.2489
2 Sr 0.5118 0.5428 0.7489
3 Sr 0.9882 0.0428 0.7511
4 Sr 0.4882 0.4572 0.2511
5 Pm 0.5000 0.0000 0.0000
6 Pm 0.0000 0.5000 0.5000
7 Pt 0.5000 0.0000 0.5000
8 Pt 0.0000 0.5000 0.0000
9 O 0.2720 0.6954 0.0442
10 O 0.7720 0.8046 0.5442
11 O 0.7280 0.3046 0.9558
12 O 0.2280 0.1954 0.4558
13 O 0.3100 0.7270 0.4533
14 O 0.8100 0.7730 0.9533
15 O 0.6900 0.2730 0.5467
16 O 0.1900 0.2270 0.0467
17 O 0.9154 0.5258 0.2315
18 O 0.4154 0.9742 0.7315
19 O 0.0846 0.4742 0.7685
20 O 0.5846 0.0258 0.2685


Record 4
Entry from Alexandria via LeMat-Bulk: a geometry-optimized Sr2PmPtO5 structure (PBE).

Results
The value obtained for the magnetization is 1.006 μB/f.u. For the electronic total energy, the calculation gives -6.44 eV per atom. The density is 7.456 g cm⁻³. As for the crystal system: tetragonal. The calculation puts the calculated volume at 14.73 Å³/atom.

a = 6.0670 Å, b = 6.6113 Å, c = 6.6113 Å
α = 90.00°, β = 90.00°, γ = 90.00°
Fractional coordinates of all 18 atoms:
1 Sr 0.5000 0.6662 0.1662
2 Sr 0.5000 0.1662 0.3338
3 Sr 0.5000 0.8338 0.6662
4 Sr 0.5000 0.3338 0.8338
5 Pm 0.0000 0.5000 0.5000
6 Pm 0.0000 0.0000 0.0000
7 Pt 0.0000 0.0000 0.5000
8 Pt 0.0000 0.5000 0.0000
9 O 0.5000 0.5000 0.5000
10 O 0.5000 0.0000 0.0000
11 O 0.2147 0.1593 0.6593
12 O 0.2147 0.8407 0.3407
13 O 0.2147 0.3407 0.1593
14 O 0.2147 0.6593 0.8407
15 O 0.7853 0.1593 0.6593
16 O 0.7853 0.6593 0.8407
17 O 0.7853 0.8407 0.3407
18 O 0.7853 0.3407 0.1593


Record 5
Entry from Alexandria via LeMat-Bulk: a geometry-optimized TbPmPtO6 structure (PBE).

Results
The value obtained for the magnetization is 1.650 μB/f.u. For the electronic total energy, the calculation gives -7.01 eV per atom. The density is 7.510 g cm⁻³. As for the crystal system: trigonal. The calculation puts the calculated volume at 14.62 Å³/atom.

a = 5.5731 Å, b = 5.5731 Å, c = 9.7820 Å
α = 90.00°, β = 90.00°, γ = 120.00°
Fractional coordinates of all 18 atoms:
1 Tb 0.3333 0.6667 0.2500
2 Tb 0.6667 0.3333 0.7500
3 Pm 0.0000 0.0000 0.0000
4 Pm 0.0000 0.0000 0.5000
5 Pt 0.6667 0.3333 0.2500
6 Pt 0.3333 0.6667 0.7500
7 O 0.6681 0.6285 0.1356
8 O 0.9604 0.3319 0.1356
9 O 0.3319 0.9604 0.6355
10 O 0.0396 0.6681 0.8644
11 O 0.3715 0.3319 0.3644
12 O 0.9604 0.6285 0.3644
13 O 0.6285 0.9604 0.8644
14 O 0.6681 0.0396 0.3644
15 O 0.0396 0.3715 0.6355
16 O 0.3715 0.0396 0.1356
17 O 0.6285 0.6681 0.6355
18 O 0.3319 0.3715 0.8644


Record 6
Entry from Alexandria via LeMat-Bulk: a geometry-optimized Pm2TcPtO8 structure (PBE).

Results
The value obtained for the magnetization is 0.791 μB/f.u. For the electronic total energy, the calculation gives -7.32 eV per atom. The density is 7.242 g cm⁻³. As for the crystal system: triclinic. The calculation puts the calculated volume at 13.59 Å³/atom.

a = 4.9364 Å, b = 4.9226 Å, c = 6.7152 Å
α = 90.00°, β = 90.01°, γ = 92.39°
Fractional coordinates of all 12 atoms:
1 Pm 0.4480 0.4463 0.7437
2 Pm 0.5520 0.5537 0.2563
3 Tc 0.0000 0.0000 0.0000
4 Pt 0.0000 0.0000 0.5000
5 O 0.1380 0.8006 0.2430
6 O 0.7324 0.7303 0.9635
7 O 0.7995 0.1374 0.2429
8 O 0.8620 0.1994 0.7570
9 O 0.2676 0.2697 0.0365
10 O 0.2005 0.8626 0.7571
11 O 0.7104 0.7098 0.5417
12 O 0.2896 0.2902 0.4583